Here is an optimized crystal structure of TlIn2Tc from Alexandria via LeMat-Bulk. Energies are from PBE.

Summary:
Spin magnetization   0.11 μB per formula unit
Calculated formation energy   0.432 eV per atom

Cell lengths 3.2706, 3.2706, 29.0182 Å; angles 90.00, 90.00, 120.00 degrees
Space group R3m (No. 160, hexagonal axes)
Asymmetric unit:
Tl1 0.0000 0.0000 0.0000 (multiplicity 3)
In1 0.0000 0.0000 0.2376 (multiplicity 3)
In2 0.0000 0.0000 0.4785 (multiplicity 3)
Tc1 0.0000 0.0000 0.7414 (multiplicity 3)



Here is an optimized crystal structure of TlIn2Tc from Alexandria via LeMat-Bulk. Energies are from PBE.

Summary:
Spin magnetization   1.40 μB per formula unit
Calculated formation energy   0.706 eV per atom

Cell lengths 7.0822, 7.0822, 7.0822 Å; angles 90.00, 90.00, 90.00 degrees
Space group F-43m (No. 216)
Asymmetric unit:
Tl1 0.0000 0.0000 0.0000 (multiplicity 4)
In1 0.0000 0.0000 0.5000 (multiplicity 4)
In2 0.2500 0.2500 0.2500 (multiplicity 4)
Tc1 0.2500 0.2500 0.7500 (multiplicity 4)



Here is an optimized crystal structure of TlInTc2 from Alexandria via LeMat-Bulk. Energies are from PBE.

Summary:
Energy relative to the lowest polymorph listed for this composition   10.663 kcal/mol of atoms
Spin magnetization   2.25 μB per formula unit
Calculated formation energy   0.659 eV per atom

Cell lengths 4.6782, 4.6782, 3.2855 Å; angles 90.00, 90.00, 90.00 degrees
Space group P4/mmm (No. 123)
Asymmetric unit:
Tl1 0.0000 0.0000 0.0000 (multiplicity 1)
In1 0.5000 0.5000 0.0000 (multiplicity 1)
Tc1 0.0000 0.5000 0.5000 (multiplicity 2)



Here is an optimized crystal structure of Tl2InTc from Alexandria via LeMat-Bulk. Energies are from PBE.

Summary:
Energy relative to the lowest polymorph listed for this composition   6.150 kcal/mol of atoms
Spin magnetization   1.29 μB per formula unit
Calculated formation energy   0.631 eV per atom

Cell lengths 3.2154, 5.3701, 5.2742 Å; angles 90.00, 90.06, 90.00 degrees
Space group P2/m (No. 10)
Asymmetric unit:
Tl1 0.2324 0.0000 0.2423 (multiplicity 2)
In1 0.5000 0.5000 0.5000 (multiplicity 1)
Tc1 0.0000 0.5000 0.0000 (multiplicity 1)



Here is an optimized crystal structure of Tl2InTc from Alexandria via LeMat-Bulk. Energies are from PBE.

Summary:
Energy relative to the lowest polymorph listed for this composition   9.254 kcal/mol of atoms
Spin magnetization   2.28 μB per formula unit
Calculated formation energy   0.765 eV per atom

Cell lengths 7.2451, 7.2451, 7.2451 Å; angles 90.00, 90.00, 90.00 degrees
Space group F-43m (No. 216)
Asymmetric unit:
Tl1 0.0000 0.0000 0.0000 (multiplicity 4)
Tl2 0.2500 0.2500 0.2500 (multiplicity 4)
In1 0.0000 0.0000 0.5000 (multiplicity 4)
Tc1 0.2500 0.2500 0.7500 (multiplicity 4)



Here is an optimized crystal structure of TlInTc2 from Alexandria via LeMat-Bulk. Energies are from PBE.

Summary:
Energy relative to the lowest polymorph listed for this composition   9.692 kcal/mol of atoms
Spin magnetization   0.00 μB per formula unit
Calculated formation energy   0.617 eV per atom

Cell lengths 9.3714, 3.0483, 5.4333 Å; angles 90.00, 103.64, 90.00 degrees
Space group C2/m (No. 12)
Asymmetric unit:
Tl1 0.0000 0.0000 0.0000 (multiplicity 2)
In1 0.0000 0.5000 0.5000 (multiplicity 2)
Tc1 0.2492 0.5000 0.2955 (multiplicity 4)



Here is an optimized crystal structure of TlIn2Tc from Alexandria via LeMat-Bulk. Energies are from PBE.

Summary:
Spin magnetization   1.02 μB per formula unit
Calculated formation energy   0.457 eV per atom

Cell lengths 3.2869, 4.7733, 5.7337 Å; angles 90.00, 99.48, 90.00 degrees
Space group P2/m (No. 10)
Asymmetric unit:
Tl1 0.0000 0.0000 0.0000 (multiplicity 1)
In1 0.3730 0.5000 0.7275 (multiplicity 2)
Tc1 0.0000 0.0000 0.5000 (multiplicity 1)



Here is an optimized crystal structure of TlInTc2 from Alexandria via LeMat-Bulk. Energies are from PBE.

Summary:
Energy relative to the lowest polymorph listed for this composition   4.499 kcal/mol of atoms
Spin magnetization   0.00 μB per formula unit
Calculated formation energy   0.392 eV per atom

Cell lengths 3.0547, 3.0547, 28.3932 Å; angles 90.00, 90.00, 120.00 degrees
Space group R3m (No. 160, hexagonal axes)
Asymmetric unit:
Tl1 0.0000 0.0000 0.0000 (multiplicity 3)
In1 0.0000 0.0000 0.7646 (multiplicity 3)
Tc1 0.0000 0.0000 0.2460 (multiplicity 3)
Tc2 0.0000 0.0000 0.5137 (multiplicity 3)



Here is an optimized crystal structure of TlIn2Tc from Alexandria via LeMat-Bulk. Energies are from PBE.

Summary:
Spin magnetization   0.39 μB per formula unit
Calculated formation energy   0.336 eV per atom

Cell lengths 2.9687, 4.8063, 13.4599 Å; angles 90.00, 90.00, 90.00 degrees
Space group Immm (No. 71)
Asymmetric unit:
Tl1 0.0000 0.0000 0.0000 (multiplicity 2)
In1 0.0000 0.5000 0.1842 (multiplicity 4)
Tc1 0.0000 0.0000 0.5000 (multiplicity 2)



Here is an optimized crystal structure of TlIn2Tc from Alexandria via LeMat-Bulk. Energies are from PBE.

Summary:
Spin magnetization   1.05 μB per formula unit
Calculated formation energy   0.496 eV per atom

Cell lengths 4.2840, 4.2840, 9.1207 Å; angles 90.00, 90.00, 90.00 degrees
Space group I-4m2 (No. 119)
Asymmetric unit:
Tl1 0.0000 0.0000 0.0000 (multiplicity 2)
In1 0.0000 0.0000 0.5000 (multiplicity 2)
In2 0.0000 0.5000 0.7500 (multiplicity 2)
Tc1 0.0000 0.5000 0.2500 (multiplicity 2)



Here is an optimized crystal structure of TlInTc2 from Alexandria via LeMat-Bulk. Energies are from PBE.

Summary:
Energy relative to the lowest polymorph listed for this composition   19.904 kcal/mol of atoms
Spin magnetization   3.95 μB per formula unit
Calculated formation energy   1.060 eV per atom

Cell lengths 7.5064, 7.5064, 5.8452 Å; angles 90.00, 90.00, 90.00 degrees
Space group I-42d (No. 122)
Asymmetric unit:
Tl1 0.0000 0.0000 0.0000 (multiplicity 4)
In1 0.0000 0.0000 0.5000 (multiplicity 4)
Tc1 0.2463 0.7500 0.6250 (multiplicity 8)



Here is an optimized crystal structure of TlInTc2 from Alexandria via LeMat-Bulk. Energies are from PBE.

Summary:
Energy relative to the lowest polymorph listed for this composition   10.728 kcal/mol of atoms
Spin magnetization   2.43 μB per formula unit
Calculated formation energy   0.662 eV per atom

Cell lengths 6.6070, 6.6070, 6.6070 Å; angles 90.00, 90.00, 90.00 degrees
Space group Fm-3m (No. 225)
Asymmetric unit:
Tl1 0.0000 0.0000 0.0000 (multiplicity 4)
In1 0.0000 0.0000 0.5000 (multiplicity 4)
Tc1 0.2500 0.2500 0.2500 (multiplicity 8)



What is the calculated formation energy in the twelfth record?
0.662 eV per atom